Material: CaLa2Y
Method: DFT, PBEsol
State: relaxed

```
data_CaLa2Y
_chemical_formula_sum 'Ca2 La4 Y2'
_cell_length_a 3.851
_cell_length_b 5.925
_cell_length_c 12.218
_cell_angle_alpha 90.00
_cell_angle_beta 90.00
_cell_angle_gamma 90.00
_symmetry_space_group_name_H-M 'C m m m'
_symmetry_Int_Tables_number 65
_symmetry_space_group_name_Hall '-C 2 2'
loop_
_atom_site_label
_atom_site_fract_x
_atom_site_fract_y
_atom_site_fract_z
Ca1 0.000 0.000 0.000
La1 0.000 0.500 0.265
Y1 0.000 0.000 0.500
```

Summary:
Total magnetic moment = 0.000 μB per atom
DOS(E_F) = 1.570 states/eV/atom
Relative energy among the computed polymorphs = 0.19 eV/f.u.
Final energy = -38.5 eV per cell